Entry 1:
# GaSbPbO6 PBE-GGA optimized geometry
# crystal system: trigonal
# VASP energy: -5.8316 eV per atom
# formation energy without anion corrections: -1.32 eV per atom
data_GaSbPbO6
_chemical_formula_sum 'Ga2 Sb2 Pb2 O12'
_symmetry_space_group_name_H-M 'P -3 1 c'
_symmetry_Int_Tables_number 163
_symmetry_space_group_name_Hall '-P 3 2c'
_cell_length_a 5.2365
_cell_length_b 5.2365
_cell_length_c 9.3226
_cell_angle_alpha 90.00
_cell_angle_beta 90.00
_cell_angle_gamma 120.00
loop_
_atom_site_label
_atom_site_fract_x
_atom_site_fract_y
_atom_site_fract_z
Ga1 0.3333 0.6667 0.2500
Sb1 0.3333 0.6667 0.7500
Pb1 0.0000 0.0000 0.0000
O1 0.0012 0.3572 0.1338

Entry 2:
# ScGaPbO4 PBE-GGA optimized geometry
# crystal system: monoclinic
# VASP energy: -6.7787 eV per atom
# formation energy without anion corrections: -2.08 eV per atom
data_ScGaPbO4
_chemical_formula_sum 'Sc2 Ga2 Pb2 O8'
_symmetry_space_group_name_H-M 'P 1 21/m 1'
_symmetry_Int_Tables_number 11
_cell_length_a 5.662
_cell_length_b 5.714
_cell_length_c 6.803
_cell_angle_alpha 90.00
_cell_angle_beta 107.34
_cell_angle_gamma 90.00
loop_
_symmetry_equiv_pos_as_xyz
'x,y,z'
'-x,-y,-z'
'-x,y+1/2,-z'
'x,-y+1/2,z'
loop_
_atom_site_label
_atom_site_fract_x
_atom_site_fract_y
_atom_site_fract_z
Sc1 0.175 0.250 0.036
Ga1 0.278 0.750 0.839
Pb1 0.282 0.250 0.568
O1 0.038 0.516 0.816
O2 0.478 0.250 0.912
O3 0.494 0.750 0.679

Entry 3:
# ScGa2PbO PBE-GGA optimized geometry
# crystal system: tetragonal
# VASP energy: -4.9583 eV per atom
# formation energy without anion corrections: -0.75 eV per atom
data_ScGa2PbO
_chemical_formula_sum 'Sc1 Ga2 Pb1 O1'
_symmetry_space_group_name_H-M 'P 4/m m m'
_symmetry_Int_Tables_number 123
_symmetry_space_group_name_Hall '-P 4 2'
_cell_length_a 4.923
_cell_length_b 4.923
_cell_length_c 4.117
_cell_angle_alpha 90.00
_cell_angle_beta 90.00
_cell_angle_gamma 90.00
loop_
_atom_site_label
_atom_site_fract_x
_atom_site_fract_y
_atom_site_fract_z
Sc1 0.000 0.000 0.000
Ga1 0.000 0.500 0.500
Pb1 0.500 0.500 0.000
O1 0.000 0.000 0.500

Entry 4:
# Ga2PbSeO6 PBE-GGA optimized geometry
# crystal system: monoclinic
# VASP energy: -5.6436 eV per atom
# formation energy without anion corrections: -1.34 eV per atom
data_Ga2PbSeO6
_chemical_formula_sum 'Ga8 Pb4 Se4 O24'
_symmetry_space_group_name_H-M 'C 1 2/c 1'
_symmetry_Int_Tables_number 15
_cell_length_a 10.740
_cell_length_b 9.896
_cell_length_c 5.977
_cell_angle_alpha 90.00
_cell_angle_beta 107.86
_cell_angle_gamma 90.00
loop_
_symmetry_equiv_pos_as_xyz
'x,y,z'
'-x,-y,-z'
'-x,y,-z+1/2'
'x,-y,z+1/2'
'x+1/2,y+1/2,z'
'-x+1/2,-y+1/2,-z'
'-x+1/2,y+1/2,-z+1/2'
'x+1/2,-y+1/2,z+1/2'
loop_
_atom_site_label
_atom_site_fract_x
_atom_site_fract_y
_atom_site_fract_z
Ga1 0.225 0.092 0.322
Pb1 0.000 0.162 0.750
Se1 0.000 0.352 0.250
O1 0.106 0.347 0.589
O2 0.112 0.245 0.177
O3 0.167 0.013 0.552

Entry 5:
# GaPb2SeO PBE-GGA optimized geometry
# crystal system: tetragonal
# VASP energy: -3.9034 eV per atom
# formation energy without anion corrections: -0.13 eV per atom
data_GaPb2SeO
_chemical_formula_sum 'Ga1 Pb2 Se1 O1'
_symmetry_space_group_name_H-M 'P 4/m m m'
_symmetry_Int_Tables_number 123
_symmetry_space_group_name_Hall '-P 4 2'
_cell_length_a 5.086
_cell_length_b 5.086
_cell_length_c 4.520
_cell_angle_alpha 90.00
_cell_angle_beta 90.00
_cell_angle_gamma 90.00
loop_
_atom_site_label
_atom_site_fract_x
_atom_site_fract_y
_atom_site_fract_z
Ga1 0.000 0.000 0.000
Pb1 0.000 0.500 0.500
Se1 0.500 0.500 0.000
O1 0.500 0.500 0.500

Entry 6:
# Ga2SiPbO6 PBE-GGA optimized geometry
# crystal system: monoclinic
# VASP energy: -6.4699 eV per atom
# formation energy without anion corrections: -1.98 eV per atom
data_Ga2SiPbO6
_chemical_formula_sum 'Ga8 Si4 Pb4 O24'
_symmetry_space_group_name_H-M 'C 1 2/c 1'
_symmetry_Int_Tables_number 15
_cell_length_a 11.053
_cell_length_b 10.787
_cell_length_c 6.213
_cell_angle_alpha 90.00
_cell_angle_beta 121.13
_cell_angle_gamma 90.00
loop_
_symmetry_equiv_pos_as_xyz
'x,y,z'
'-x,-y,-z'
'-x,y,-z+1/2'
'x,-y,z+1/2'
'x+1/2,y+1/2,z'
'-x+1/2,-y+1/2,-z'
'-x+1/2,y+1/2,-z+1/2'
'x+1/2,-y+1/2,z+1/2'
loop_
_atom_site_label
_atom_site_fract_x
_atom_site_fract_y
_atom_site_fract_z
Ga1 0.236 0.071 0.309
Si1 0.000 0.290 0.250
Pb1 0.000 0.205 0.750
O1 0.081 0.370 0.512
O2 0.114 0.207 0.220
O3 0.189 0.044 0.975

Entry 7:
# Sr2GaPbO5 PBE-GGA optimized geometry
# crystal system: orthorhombic
# VASP energy: -5.8676 eV per atom
# formation energy without anion corrections: -1.99 eV per atom
data_Sr2GaPbO5
_chemical_formula_sum 'Sr8 Ga4 Pb4 O20'
_symmetry_space_group_name_H-M 'C m c 21'
_symmetry_Int_Tables_number 36
_cell_length_a 3.411
_cell_length_b 16.470
_cell_length_c 9.974
_cell_angle_alpha 90.00
_cell_angle_beta 90.00
_cell_angle_gamma 90.00
loop_
_symmetry_equiv_pos_as_xyz
'x,y,z'
'-x,-y,z+1/2'
'-x,y,z'
'x,-y,z+1/2'
'x+1/2,y+1/2,z'
'-x+1/2,-y+1/2,z+1/2'
'-x+1/2,y+1/2,z'
'x+1/2,-y+1/2,z+1/2'
loop_
_atom_site_label
_atom_site_fract_x
_atom_site_fract_y
_atom_site_fract_z
Sr1 0.000 0.103 0.000
Sr2 0.000 0.111 0.619
Ga1 0.000 0.449 0.773
Pb1 0.000 0.225 0.333
O1 0.000 0.036 0.360
O2 0.000 0.294 0.988
O3 0.000 0.341 0.698
O4 0.000 0.359 0.318
O5 0.000 0.500 0.107

Entry 8:
# Sr2GaPbO6 PBE-GGA optimized geometry
# crystal system: trigonal
# VASP energy: -5.6823 eV per atom
# formation energy without anion corrections: -1.70 eV per atom
data_Sr2GaPbO6
_chemical_formula_sum 'Sr12 Ga6 Pb6 O36'
_symmetry_space_group_name_H-M 'R -3 m'
_symmetry_Int_Tables_number 166
_symmetry_space_group_name_Hall '-R 3 2"'
_cell_length_a 5.8355
_cell_length_b 5.8355
_cell_length_c 29.8935
_cell_angle_alpha 90.00
_cell_angle_beta 90.00
_cell_angle_gamma 120.00
loop_
_atom_site_label
_atom_site_fract_x
_atom_site_fract_y
_atom_site_fract_z
Sr1 0.0000 0.0000 0.1361
Sr2 0.0000 0.0000 0.2723
Ga1 0.0000 0.0000 0.0000
Ga2 0.0000 0.0000 0.5000
Pb1 0.0000 0.0000 0.4079
O1 0.0110 0.5055 0.1263
O2 0.0332 0.5166 0.7083

Entry 9:
# TaGaPbO6 PBE-GGA optimized geometry
# crystal system: trigonal
# VASP energy: -7.2059 eV per atom
# formation energy without anion corrections: -1.84 eV per atom
data_TaGaPbO6
_chemical_formula_sum 'Ta1 Ga1 Pb1 O6'
_symmetry_space_group_name_H-M 'P 3 1 2'
_symmetry_Int_Tables_number 149
_cell_length_a 5.2203
_cell_length_b 5.2203
_cell_length_c 4.6842
_cell_angle_alpha 90.00
_cell_angle_beta 90.00
_cell_angle_gamma 120.00
loop_
_symmetry_equiv_pos_as_xyz
'x,y,z'
'-y,x-y,z'
'-x+y,-x,z'
'-y,-x,-z'
'-x+y,y,-z'
'x,x-y,-z'
loop_
_atom_site_label
_atom_site_fract_x
_atom_site_fract_y
_atom_site_fract_z
Ta1 0.0000 0.0000 0.0000
Ga1 0.6667 0.3333 0.0000
Pb1 0.3333 0.6667 0.5000
O1 0.3322 0.0199 0.2300

Entry 10:
# TaGaPb2O6 PBE-GGA optimized geometry
# crystal system: tetragonal
# VASP energy: -7.0846 eV per atom
# formation energy without anion corrections: -1.88 eV per atom
data_TaGaPb2O6
_chemical_formula_sum 'Ta1 Ga1 Pb2 O6'
_symmetry_space_group_name_H-M 'P 4 m m'
_symmetry_Int_Tables_number 99
_cell_length_a 5.669
_cell_length_b 5.669
_cell_length_c 4.088
_cell_angle_alpha 90.00
_cell_angle_beta 90.00
_cell_angle_gamma 90.00
loop_
_symmetry_equiv_pos_as_xyz
'x,y,z'
'-y,x,z'
'-x,-y,z'
'y,-x,z'
'-x,y,z'
'y,x,z'
'x,-y,z'
'-y,-x,z'
loop_
_atom_site_label
_atom_site_fract_x
_atom_site_fract_y
_atom_site_fract_z
Ta1 0.000 0.000 0.000
Ga1 0.500 0.500 0.011
Pb1 0.000 0.500 0.467
O1 0.000 0.000 0.527
O2 0.246 0.246 0.044
O3 0.500 0.500 0.531

Entry 11:
# TaGaPbO5 PBE-GGA optimized geometry
# crystal system: monoclinic
# VASP energy: -7.5859 eV per atom
# formation energy without anion corrections: -2.16 eV per atom
data_TaGaPbO5
_chemical_formula_sum 'Ta4 Ga4 Pb4 O20'
_symmetry_space_group_name_H-M 'C 1 2/c 1'
_symmetry_Int_Tables_number 15
_cell_length_a 7.097
_cell_length_b 9.380
_cell_length_c 7.614
_cell_angle_alpha 90.00
_cell_angle_beta 114.90
_cell_angle_gamma 90.00
loop_
_symmetry_equiv_pos_as_xyz
'x,y,z'
'-x,-y,-z'
'-x,y,-z+1/2'
'x,-y,z+1/2'
'x+1/2,y+1/2,z'
'-x+1/2,-y+1/2,-z'
'-x+1/2,y+1/2,-z+1/2'
'x+1/2,-y+1/2,z+1/2'
loop_
_atom_site_label
_atom_site_fract_x
_atom_site_fract_y
_atom_site_fract_z
Ta1 0.000 0.000 0.000
Ga1 0.000 0.315 0.250
Pb1 0.000 0.327 0.750
O1 0.000 0.059 0.750
O2 0.092 0.201 0.100
O3 0.205 0.440 0.407

Entry 12:
# TbGaPbO4 PBE-GGA optimized geometry
# crystal system: monoclinic
# VASP energy: -6.5888 eV per atom
# formation energy without anion corrections: -2.13 eV per atom
data_TbGaPbO4
_chemical_formula_sum 'Tb2 Ga2 Pb2 O8'
_symmetry_space_group_name_H-M 'P 1 21/m 1'
_symmetry_Int_Tables_number 11
_cell_length_a 5.949
_cell_length_b 5.838
_cell_length_c 7.038
_cell_angle_alpha 90.00
_cell_angle_beta 101.72
_cell_angle_gamma 90.00
loop_
_symmetry_equiv_pos_as_xyz
'x,y,z'
'-x,-y,-z'
'-x,y+1/2,-z'
'x,-y+1/2,z'
loop_
_atom_site_label
_atom_site_fract_x
_atom_site_fract_y
_atom_site_fract_z
Tb1 0.188 0.250 0.072
Ga1 0.293 0.750 0.842
Pb1 0.295 0.250 0.619
O1 0.079 0.509 0.822
O2 0.489 0.750 0.085
O3 0.499 0.750 0.679

Please write out number 8 again, unchanged.
# Sr2GaPbO6 PBE-GGA optimized geometry
# crystal system: trigonal
# VASP energy: -5.6823 eV per atom
# formation energy without anion corrections: -1.70 eV per atom
data_Sr2GaPbO6
_chemical_formula_sum 'Sr12 Ga6 Pb6 O36'
_symmetry_space_group_name_H-M 'R -3 m'
_symmetry_Int_Tables_number 166
_symmetry_space_group_name_Hall '-R 3 2"'
_cell_length_a 5.8355
_cell_length_b 5.8355
_cell_length_c 29.8935
_cell_angle_alpha 90.00
_cell_angle_beta 90.00
_cell_angle_gamma 120.00
loop_
_atom_site_label
_atom_site_fract_x
_atom_site_fract_y
_atom_site_fract_z
Sr1 0.0000 0.0000 0.1361
Sr2 0.0000 0.0000 0.2723
Ga1 0.0000 0.0000 0.0000
Ga2 0.0000 0.0000 0.5000
Pb1 0.0000 0.0000 0.4079
O1 0.0110 0.5055 0.1263
O2 0.0332 0.5166 0.7083

What is the VASP energy in the twelfth record? -6.5888 eV per atom